1.
A geometry-optimized Cu8O structure, computed with PBE-GGA.

extended XYZ file:
```
9
Lattice="3.1034 -3.1110 0.0000 3.1034 3.1110 0.0000 0.0000 0.0000 5.5081" Properties=species:S:1:pos:R:3 pbc="T T T"
Cu 3.1034 1.9418 0.0000
Cu 3.1034 1.7939 2.7540
Cu 1.7201 0.0000 1.5105
Cu 1.7201 0.0000 3.9976
Cu 4.4867 0.0000 1.5105
Cu 4.4867 0.0000 3.9976
Cu 3.1034 -1.7939 2.7540
Cu 3.1034 -1.9418 0.0000
O 3.1034 0.0000 0.0000
```

Symmetry: Cmmm (65)

---

2.
A geometry-optimized Cu4O3 structure, computed with PBE-GGA.

extended XYZ file:
```
14
Lattice="4.0493 0.0000 0.0000 0.0000 4.0493 0.0000 0.0000 0.0000 9.3635" Properties=species:S:1:pos:R:3 pbc="T T T"
Cu 1.0123 1.0123 1.9388
Cu 1.0123 1.0123 7.1598
Cu 1.0123 3.0370 0.0000
Cu 1.0123 3.0370 4.6818
Cu 3.0370 1.0123 0.0000
Cu 3.0370 1.0123 4.6818
Cu 3.0370 3.0370 2.2037
Cu 3.0370 3.0370 7.4247
O 1.0123 1.0123 4.8021
O 1.0123 3.0370 1.8964
O 1.0123 3.0370 7.4671
O 3.0370 1.0123 1.8964
O 3.0370 1.0123 7.4671
O 3.0370 3.0370 4.5614
```

Excess energy over the best structure of this formula in the dataset, eV per atom: 0.107
Symmetry: P4/nmm (129)

---

3.
A geometry-optimized Cu4O3 structure, computed with PBE-GGA.

extended XYZ file:
```
7
Lattice="1.4596 0.8427 9.5261 -1.4596 0.8427 9.5261 0.0000 -1.6854 9.5261" Properties=species:S:1:pos:R:3 pbc="T T T"
Cu 0.0000 0.0000 3.4972
Cu 0.0000 0.0000 10.4757
Cu 0.0000 0.0000 18.1028
Cu 0.0000 0.0000 25.0813
O 0.0000 0.0000 7.2352
O 0.0000 0.0000 14.2892
O 0.0000 0.0000 21.3433
```

Excess energy over the best structure of this formula in the dataset, eV per atom: 0.211
Symmetry: R-3m (166)

---

4.
A geometry-optimized Cu3O4 structure, computed with PBE-GGA.

extended XYZ file:
```
14
Lattice="-3.6301 3.6924 3.0639 3.6301 -3.6924 3.0639 3.6301 3.6924 -3.0639" Properties=species:S:1:pos:R:3 pbc="T T T"
Cu 0.0000 0.0000 0.0000
Cu 1.8150 1.8462 -1.5319
Cu 1.8150 -1.8462 1.5319
Cu -1.8150 1.8462 1.5319
Cu 0.0000 0.0000 3.0639
Cu 1.8150 1.8462 1.5319
O 3.6301 2.3882 -1.5319
O 5.3532 0.7497 0.0000
O 1.7231 2.9428 0.0000
O 0.0000 1.3042 1.5319
O 3.6301 2.3882 1.5319
O 1.9069 0.7497 3.0639
O -1.7231 2.9428 3.0639
O 0.0000 1.3042 4.5958
```

Excess energy over the best structure of this formula in the dataset, eV per atom: 0.000
Symmetry: Ibam (72)

---

Energy relative to the elements, uncorrected across the listed records, respectively: -0.02 -0.40 -0.29 -0.43 eV/atom.
Electronic total energy across the listed records, respectively: -4.22 -4.86 -4.76 -5.02 eV per atom.
M_tot across the listed records, respectively: 0.00 0.12 0.82 1.07 μB/f.u..